Entry 1:
## ZrScAu (PBE-GGA)

Data for a geometry-optimized ZrScAu structure.

For the formation energy, the calculation gives -0.202 eV/atom. For the calculated volume, the calculation gives 287.9 Å³ per cell. The value obtained for the magnetization is 0.00 μB/f.u.

It has space group F-43m (No. 216), with a = 6.603 Å, b = 6.603 Å, c = 6.603 Å, α = 90.00°, β = 90.00° and γ = 90.00°. The inequivalent atoms are Zr at (0.000, 0.000, 0.000), Sc at (0.000, 0.000, 0.500) and Au at (0.250, 0.250, 0.250).



Entry 2:
## ZrSc2Au (PBE-GGA)

Data for a geometry-optimized ZrSc2Au structure.

For the formation energy, the calculation gives 0.027 eV/atom. For the calculated volume, the calculation gives 273.5 Å³ per cell. The value obtained for the magnetization is 0.00 μB/f.u.

It has space group R-3m (No. 166, hexagonal axes), with a = 3.1701 Å, b = 3.1701 Å, c = 31.4287 Å, α = 90.00°, β = 90.00° and γ = 120.00°. The inequivalent atoms are Zr at (0.0000, 0.0000, 0.0000), Sc at (0.0000, 0.0000, 0.0955) and Au at (0.0000, 0.0000, 0.5000).



Entry 3:
## ZrSc2Au4 (PBE-GGA)

Data for a geometry-optimized ZrSc2Au4 structure.

For the formation energy, the calculation gives -0.534 eV/atom. For the calculated volume, the calculation gives 459.9 Å³ per cell. The value obtained for the magnetization is 0.00 μB/f.u.

It has space group R-3m (No. 166, hexagonal axes), with a = 4.7262 Å, b = 4.7262 Å, c = 23.7732 Å, α = 90.00°, β = 90.00° and γ = 120.00°. The inequivalent atoms are Zr at (0.0000, 0.0000, 0.0000), Sc at (0.0000, 0.0000, 0.2411), Au at (0.0000, 0.0000, 0.1220) and Au at (0.0000, 0.0000, 0.3666).



Entry 4:
## ZrScAu (PBE-GGA)

Data for a geometry-optimized ZrScAu structure.

For the formation energy, the calculation gives -0.452 eV/atom. For the calculated volume, the calculation gives 249.6 Å³ per cell. The value obtained for the magnetization is 0.00 μB/f.u.

It has space group Cmmm (No. 65), with a = 4.813 Å, b = 15.648 Å, c = 3.315 Å, α = 90.00°, β = 90.00° and γ = 90.00°. The inequivalent atoms are Zr at (0.000, 0.000, 0.000), Zr at (0.000, 0.500, 0.500), Sc at (0.000, 0.178, 0.500) and Au at (0.000, 0.344, 0.000).



Entry 5:
## AuSe5 (PBE-GGA)

Data for a geometry-optimized AuSe5 structure.

For the calculated volume, the calculation gives 518.6 Å³ per cell. The value obtained for the magnetization is 0.00 μB/f.u. Its formation energy from raw total energies is 0.786 eV per atom.

It has space group F-43m (No. 216), with a = 8.034 Å, b = 8.034 Å, c = 8.034 Å, α = 90.00°, β = 90.00° and γ = 90.00°. The inequivalent atoms are Au at (0.000, 0.000, 0.000), Se at (0.122, 0.122, 0.378) and Se at (0.250, 0.250, 0.750).



Entry 6:
## Au2Se (PBE-GGA)

Data for a geometry-optimized Au2Se structure.

For the calculated volume, the calculation gives 299.6 Å³ per cell. The value obtained for the magnetization is 0.00 μB/f.u. Its formation energy from raw total energies is 0.118 eV per atom.

It has space group P6_3/mmc (No. 194), with a = 6.2786 Å, b = 6.2786 Å, c = 8.7750 Å, α = 90.00°, β = 90.00° and γ = 120.00°. The inequivalent atoms are Au at (0.0000, 0.0000, 0.0000), Au at (0.1542, 0.3083, 0.2500) and Se at (0.3333, 0.6667, 0.0620).



> What is the magnetization in the fifth record?

0.00 μB/f.u.